First-principles (PBE) data for crystalline K2Pb2Au at its relaxed geometry, as listed in the Alexandria database.

## Properties
calculated formation energy: 167.5 meV per atom
polymorph energy (0 for the lowest one): 354 meV per atom

Cell lengths 10.5191, 10.5191, 3.4209 Å; angles 90.00, 90.00, 90.00 degrees
Space group P4/mbm (No. 127)
Unique sites:
K 0.2016 0.2984 0.0000 (multiplicity 4)
Pb 0.0976 0.5976 0.5000 (multiplicity 4)
Au 0.0000 0.0000 0.0000 (multiplicity 2)

=====

First-principles (PBE) data for crystalline KPbAu at its relaxed geometry, as listed in the Alexandria database.

## Properties
calculated formation energy: -39.4 meV per atom

Cell lengths 7.3196, 7.3196, 7.3196 Å; angles 90.00, 90.00, 90.00 degrees
Space group F-43m (No. 216)
Unique sites:
K 0.0000 0.0000 0.0000 (multiplicity 4)
Pb 0.0000 0.0000 0.5000 (multiplicity 4)
Au 0.2500 0.2500 0.2500 (multiplicity 4)

=====

First-principles (PBE) data for crystalline KPb4Au3 at its relaxed geometry, as listed in the Alexandria database.

## Properties
calculated formation energy: -149.2 meV per atom

Cell lengths 5.0017, 5.0017, 9.4078 Å; angles 90.00, 90.00, 90.00 degrees
Space group P4/mmm (No. 123)
Unique sites:
K 0.0000 0.0000 0.0000 (multiplicity 1)
Pb 0.0000 0.5000 0.3203 (multiplicity 4)
Au 0.0000 0.0000 0.5000 (multiplicity 1)
Au 0.5000 0.5000 0.1449 (multiplicity 2)

=====

First-principles (PBE) data for crystalline KPb3Au at its relaxed geometry, as listed in the Alexandria database.

## Properties
calculated formation energy: 1140.6 meV per atom
polymorph energy (0 for the lowest one): 1278 meV per atom

Cell lengths 5.9555, 5.9555, 5.9555 Å; angles 90.00, 90.00, 90.00 degrees
Space group Pm-3m (No. 221)
Unique sites:
K 0.0000 0.0000 0.0000 (multiplicity 1)
Pb 0.0000 0.0000 0.5000 (multiplicity 3)
Au 0.5000 0.5000 0.5000 (multiplicity 1)

=====

First-principles (PBE) data for crystalline K3Pb4Au at its relaxed geometry, as listed in the Alexandria database.

## Properties
calculated formation energy: -264.5 meV per atom

Cell lengths 6.9184, 12.8493, 6.9268 Å; angles 90.00, 90.00, 90.00 degrees
Space group Pmmn (No. 59, origin choice 2)
Unique sites:
K 0.2500 0.0020 0.1756 (multiplicity 4)
K 0.2500 0.7500 0.5500 (multiplicity 2)
Pb 0.0067 0.2500 0.9664 (multiplicity 4)
Pb 0.2500 0.1211 0.6704 (multiplicity 4)
Au 0.2500 0.2500 0.3198 (multiplicity 2)

=====

First-principles (PBE) data for crystalline K2Pb2Au at its relaxed geometry, as listed in the Alexandria database.

## Properties
calculated formation energy: -186.9 meV per atom
polymorph energy (0 for the lowest one): 0 meV per atom

Cell lengths 12.7323, 4.8518, 12.7873 Å; angles 90.00, 113.76, 90.00 degrees
Space group C2/m (No. 12)
Unique sites:
K 0.0320 0.0000 0.1715 (multiplicity 4)
K 0.1940 0.0000 0.6199 (multiplicity 4)
Pb 0.0247 0.5000 0.3933 (multiplicity 4)
Pb 0.2008 0.5000 0.0600 (multiplicity 4)
Au 0.1659 0.5000 0.8180 (multiplicity 4)

=====

First-principles (PBE) data for crystalline KPb2Au2 at its relaxed geometry, as listed in the Alexandria database.

## Properties
calculated formation energy: -171.3 meV per atom
polymorph energy (0 for the lowest one): 44 meV per atom

Cell lengths 5.3175, 5.3175, 10.9651 Å; angles 90.00, 90.00, 90.00 degrees
Space group I4/mmm (No. 139)
Unique sites:
K 0.0000 0.0000 0.0000 (multiplicity 2)
Pb 0.0000 0.0000 0.3524 (multiplicity 4)
Au 0.0000 0.5000 0.2500 (multiplicity 4)

=====

First-principles (PBE) data for crystalline K2PbAu2 at its relaxed geometry, as listed in the Alexandria database.

## Properties
calculated formation energy: -298.9 meV per atom
polymorph energy (0 for the lowest one): 0 meV per atom

Cell lengths 11.4568, 6.7506, 8.4122 Å; angles 90.00, 101.03, 90.00 degrees
Space group C2/c (No. 15)
Unique sites:
K 0.1476 0.1290 0.1401 (multiplicity 8)
Pb 0.0000 0.3998 0.7500 (multiplicity 4)
Au 0.1417 0.3508 0.4950 (multiplicity 8)

=====

First-principles (PBE) data for crystalline KPb3Au2 at its relaxed geometry, as listed in the Alexandria database.

## Properties
calculated formation energy: -163.0 meV per atom
polymorph energy (0 for the lowest one): 0 meV per atom

Cell lengths 19.3647, 4.7992, 12.0023 Å; angles 90.00, 106.03, 90.00 degrees
Space group C2/m (No. 12)
Unique sites:
K 0.0000 0.0000 0.0000 (multiplicity 2)
K 0.1604 0.0000 0.7026 (multiplicity 4)
Pb 0.0000 0.5000 0.5000 (multiplicity 2)
Pb 0.0339 0.0000 0.3364 (multiplicity 4)
Pb 0.1171 0.5000 0.1975 (multiplicity 4)
Pb 0.1786 0.5000 0.9685 (multiplicity 4)
Pb 0.2111 0.0000 0.3811 (multiplicity 4)
Au 0.0413 0.5000 0.7974 (multiplicity 4)
Au 0.1437 0.5000 0.4599 (multiplicity 4)
Au 0.1966 0.0000 0.1250 (multiplicity 4)

=====

First-principles (PBE) data for crystalline KPb3Au at its relaxed geometry, as listed in the Alexandria database.

## Properties
calculated formation energy: 110.0 meV per atom
polymorph energy (0 for the lowest one): 247 meV per atom

Cell lengths 5.7161, 5.7161, 5.7161 Å; angles 90.00, 90.00, 90.00 degrees
Space group Pm-3m (No. 221)
Unique sites:
K 0.0000 0.0000 0.0000 (multiplicity 1)
Pb 0.0000 0.5000 0.5000 (multiplicity 3)
Au 0.5000 0.5000 0.5000 (multiplicity 1)

=====

First-principles (PBE) data for crystalline KPbAu at its relaxed geometry, as listed in the Alexandria database.

## Properties
calculated formation energy: -185.7 meV per atom

Cell lengths 3.9236, 3.9426, 12.3338 Å; angles 90.00, 90.00, 90.00 degrees
Space group Imm2 (No. 44)
Unique sites:
K 0.0000 0.0000 0.0000 (multiplicity 2)
Pb 0.0000 0.0000 0.7160 (multiplicity 2)
Au 0.0000 0.0000 0.2968 (multiplicity 2)

=====

First-principles (PBE) data for crystalline KPbAu2 at its relaxed geometry, as listed in the Alexandria database.

## Properties
calculated formation energy: -105.2 meV per atom

Cell lengths 5.3124, 5.3124, 3.6607 Å; angles 90.00, 90.00, 90.00 degrees
Space group P4/mmm (No. 123)
Unique sites:
K 0.0000 0.0000 0.0000 (multiplicity 1)
Pb 0.5000 0.5000 0.0000 (multiplicity 1)
Au 0.0000 0.5000 0.5000 (multiplicity 2)

=====

Number 1: spin magnetization 0.00 μB per cell. Number 2: spin magnetization 0.00 μB per cell. Number 3: spin magnetization 0.00 μB per cell. Number 4: spin magnetization 0.00 μB per cell. Number 5: spin magnetization 0.00 μB per cell. Number 6: spin magnetization 0.00 μB per cell. Number 7: spin magnetization 0.00 μB per cell. Number 8: spin magnetization 0.00 μB per cell. Number 9: spin magnetization 0.00 μB per cell. Number 10: spin magnetization 0.00 μB per cell. Number 11: spin magnetization 0.00 μB per cell. Number 12: spin magnetization 0.00 μB per cell.